A relaxed Ac5Pr4Tl crystal, computed with PBE.

a b c (Å): 4.4481 4.4481 19.8355
angles (deg): 90.00 90.00 90.00
Last column: nearest neighbours and their distance in Å.
Atoms (fractional coordinates):
Ac 0.0000 0.0000 0.0000  8 Pr 3.74, 2 Ac 3.96
Ac 0.0000 0.0000 0.1997  8 Pr 3.69-3.72, 1 Ac 3.96
Ac 0.0000 0.0000 0.4095  1 Ac 3.59, 4 Tl 3.62, 4 Pr 3.83
Ac 0.0000 0.0000 0.5905  1 Ac 3.59, 4 Tl 3.62, 4 Pr 3.83
Ac 0.0000 0.0000 0.8003  8 Pr 3.69-3.72, 1 Ac 3.96
Pr 0.5000 0.5000 0.1021  8 Ac 3.69-3.74, 2 Pr 3.92-4.05
Pr 0.5000 0.5000 0.2998  8 Ac 3.72-3.83, 1 Pr 3.92, 1 Tl 3.97
Pr 0.5000 0.5000 0.7002  8 Ac 3.72-3.83, 1 Pr 3.92, 1 Tl 3.97
Pr 0.5000 0.5000 0.8979  8 Ac 3.69-3.74, 2 Pr 3.92-4.05
Tl 0.5000 0.5000 0.5000  8 Ac 3.62, 2 Pr 3.97

Calculated values
E_form	18	meV/atom
M_tot	0.000	μB per formula unit
SG	No. 123